Below is crystalline LiPaGe2Pd2 at its relaxed geometry, with properties calculated at the PBE level.

The calculation puts the uncorrected energy at -5.788 eV/atom. The energy relative to the elements comes out at -0.6167 eV/atom.

Cell and atoms, written as POSCAR:
```
LiPaGe2Pd2
1.0
4.243 0.000 0.000
-2.122 3.675 0.000
0.000 0.000 6.684
Li Pa Ge Pd
1 1 2 2
Cartesian
0.000 0.000 0.000
0.000 0.000 3.342
0.000 2.450 5.011
2.122 1.225 1.672
0.000 2.450 0.929
2.122 1.225 5.754
```

Below is crystalline Ca2Pm3HoSe6 at its relaxed geometry, with properties calculated at the PBE level.

The calculation puts the uncorrected energy at -5.508 eV/atom. The raw formation energy is -1863 meV/atom.

Cell and atoms, written as POSCAR:
```
Ca2Pm3HoSe6
1.0
3.582 -6.212 0.000
3.582 6.212 0.000
-2.395 0.000 6.910
Ca Pm Ho Se
2 3 1 6
Cartesian
3.582 4.144 0.000
3.582 -4.144 0.000
-1.198 0.000 3.455
2.384 2.131 3.455
2.384 -2.131 3.455
3.582 0.000 0.000
0.009 2.045 5.257
1.223 0.000 1.697
0.009 -2.045 5.257
4.759 2.045 1.652
3.545 0.000 5.213
4.759 -2.045 1.652
```

Below is crystalline CaRe at its relaxed geometry, with properties calculated at the PBE level.

The calculation puts the uncorrected energy at -4.276 eV/atom. The energy relative to the elements comes out at 2.9490 eV/atom. Its energy above the most stable polymorph in this dataset is 5.29 eV/f.u.

Cell and atoms, written as POSCAR:
```
CaRe
1.0
0.000 3.328 3.328
3.328 0.000 3.328
3.328 3.328 0.000
Ca Re
1 1
Cartesian
0.000 0.000 0.000
4.993 4.993 4.993
```

Below is crystalline CsLaPd2 at its relaxed geometry, with properties calculated at the PBE level.

The calculation puts the uncorrected energy at -4.103 eV/atom. The energy relative to the elements comes out at -0.0613 eV/atom. Its energy above the most stable polymorph in this dataset is 0.09 eV/f.u.

Cell and atoms, written as POSCAR:
```
CsLaPd2
1.0
-4.151 4.151 4.151
4.151 -4.151 4.151
4.151 4.151 -4.151
Cs La Pd
2 2 4
Cartesian
0.000 0.000 0.000
0.000 4.151 2.075
4.151 0.000 2.075
0.000 0.000 4.151
2.075 2.587 -1.038
5.714 2.075 1.038
2.075 1.563 3.113
-1.563 2.075 5.189
```

Below is crystalline GaCuPtO6 at its relaxed geometry, with properties calculated at the PBE level.

The calculation puts the uncorrected energy at -5.361 eV/atom. The raw formation energy is -593 meV/atom.

Cell and atoms, written as POSCAR:
```
GaCuPtO6
1.0
5.102 0.000 0.000
-2.551 4.419 0.000
0.000 0.000 8.454
Ga Cu Pt O
2 2 2 12
Cartesian
0.000 2.946 2.114
2.551 1.473 6.341
0.000 0.000 0.000
0.000 0.000 4.227
0.000 2.946 6.341
2.551 1.473 2.114
-0.882 1.534 5.276
-1.664 2.887 7.406
1.770 0.003 1.049
0.888 1.531 3.178
0.882 1.534 7.406
-0.781 4.415 5.276
3.332 0.003 3.178
1.669 2.884 1.049
1.664 2.887 5.276
0.781 4.415 7.406
4.215 1.531 1.049
3.433 2.884 3.178
```

Below is crystalline Co2W at its relaxed geometry, with properties calculated at the PBE level.

The calculation puts the uncorrected energy at -8.958 eV/atom. The energy relative to the elements comes out at 0.0966 eV/atom.

Cell and atoms, written as POSCAR:
```
Co2W
1.0
4.161 0.000 0.000
-2.081 3.604 0.000
0.000 0.000 4.977
Co W
4 2
Cartesian
0.000 0.000 0.000
0.000 0.000 2.489
0.000 2.402 1.244
2.081 1.201 3.733
0.000 2.402 3.733
2.081 1.201 1.244
```

Record-wise ρ values, in g cm⁻³: 9.50 6.23 5.10 5.63 7.39 13.43